DFT (GGA-PBE) results for crystalline UZn3Pd12 at its relaxed geometry.

```
UZn3Pd12
1.0
-1.1667 1.4598 -3.5595
-3.6956 -1.4591 0.6130
-4.1181 13.2869 6.7989
Pd Zn U
12 3 1
Direct
0.0000 0.5000 0.8706
0.0000 0.5000 0.3791
0.0000 0.5000 0.6209
0.0000 0.5000 0.1294
0.5000 0.5000 0.2550
0.5000 0.0000 0.1294
0.5000 0.0000 0.6209
0.5000 0.0000 0.8706
0.5000 0.5000 0.0000
0.5000 0.5000 0.5000
0.5000 0.5000 0.7450
0.5000 0.0000 0.3791
0.0000 0.0000 0.5000
0.0000 0.0000 0.7384
0.0000 0.0000 0.2616
0.0000 0.0000 0.0000
```

DFT formation energy   -6.06 eV per formula unit
Symmetry   P4/mmm, No. 123

=====

DFT (GGA-PBE) results for crystalline La3GeB at its relaxed geometry.

```
La3GeB
1.0
-3.4116 -3.8780 0.8681
2.5375 -1.2453 4.4092
-3.0583 3.2927 2.6900
La B Ge
3 1 1
Direct
0.0000 0.0000 0.5000
0.5000 0.0000 0.0000
0.0000 0.5000 0.0000
0.0000 0.0000 0.0000
0.5000 0.5000 0.5000
```

DFT formation energy   -1.06 eV per formula unit
Symmetry   Pm-3m, No. 221

=====

DFT (GGA-PBE) results for crystalline AgTeH2S at its relaxed geometry.

```
AgTeH2S
1.0
-2.2915 1.0860 -2.8427
-0.3481 -5.2874 -1.7393
-3.0338 -0.5372 2.2403
Te H S Ag
1 2 1 1
Direct
0.5000 0.5000 0.5000
0.0000 0.0000 0.5000
0.5000 0.0000 0.0000
0.0000 0.0000 0.0000
0.0000 0.5000 0.0000
```

Raw total energy   -2.90 eV/atom
Symmetry   P4/mmm, No. 123

=====

DFT (GGA-PBE) results for crystalline LiPuCdHg at its relaxed geometry.

```
LiPuCdHg
1.0
-1.4598 -0.5025 -2.8174
1.2891 -2.9392 -0.1437
-6.5953 -3.0865 3.9677
Pu Cd Li Hg
1 1 1 1
Direct
0.0000 0.0000 0.0759
0.5000 0.5000 0.7797
0.0000 0.0000 0.5646
0.5000 0.5000 0.3645
```

DFT formation energy   -0.76 eV per formula unit
Symmetry   P4mm, No. 99

=====

DFT (GGA-PBE) results for crystalline Cr2NiAu at its relaxed geometry.

```
Cr2NiAu
1.0
8.8602 0.0079 0.0046
8.4608 2.6303 0.0046
8.4608 1.2887 2.2930
Cr Ni Au
2 1 1
Direct
0.5068 0.5068 0.5068
0.9932 0.9932 0.9932
0.2500 0.2500 0.2500
0.7500 0.7500 0.7500
```

DFT formation energy   1.82 eV per formula unit
Symmetry   R-3m, No. 166

=====

DFT (GGA-PBE) results for crystalline Tl2InMo at its relaxed geometry.

```
Tl2InMo
1.0
-4.9788 2.1403 0.2405
-0.1064 -0.5900 3.0482
2.1410 4.8752 0.9373
In Tl Mo
1 2 1
Direct
0.5000 0.2500 0.2500
0.0000 0.9886 0.9936
0.0000 0.5114 0.5064
0.5000 0.7500 0.7500
```

DFT formation energy   2.57 eV per formula unit
Symmetry   P2/m, No. 10